{
  "formula": "Rb3Pu3WS8",
  "functional": "PBE-GGA",
  "state": "optimized geometry",
  "lattice_angstrom": [[7.937, -0.012, -0.007], [-3.978, 6.889, -0.029], [-0.006, -4.561, 7.865]],
  "species": ["Pu", "Pu", "Pu", "S", "S", "S", "S", "S", "S", "S", "S", "Rb", "Rb", "Rb", "W"],
  "frac_coords": [[0.000, 0.500, 0.500], [0.500, 0.000, 0.500], [0.500, 0.500, 0.500], [0.211, 0.968, 0.678], [0.755, 0.966, 0.678], [0.789, 0.032, 0.322], [0.789, 0.579, 0.322], [0.245, 0.034, 0.322], [0.211, 0.421, 0.678], [0.730, 0.463, 0.695], [0.270, 0.537, 0.305], [0.000, 0.000, 0.000], [0.500, 0.500, 0.000], [0.000, 0.500, 0.000], [0.000, 0.000, 0.500]],
  "raw_formation_energy_ev_per_atom": -1.272,
  "vol_a3_per_cell": 428.5
}